# 1
KScMn2: optimized geometry, PBE.

Lattice parameters (Å, degrees): 3.061 5.471 11.085 90.00 90.00 90.00
Space group Imm2 (No. 44)
Asymmetric unit:
K1 0.000 0.000 0.000 (multiplicity 2)
Sc1 0.000 0.500 0.203 (multiplicity 2)
Mn1 0.000 0.000 0.475 (multiplicity 2)
Mn2 0.000 0.500 0.776 (multiplicity 2)

## Properties
Crystal system: orthorhombic
Formation energy (meV per atom): 833
ΔE to the lowest computed polymorph (eV/atom): 0.391
Size of the total moment (μB per formula unit): 6.7


# 2
HPbClO: optimized geometry, PBE.

Lattice parameters (Å, degrees): 10.928 4.074 7.393 90.00 115.73 90.00
Space group C2/m (No. 12)
Asymmetric unit:
H1 0.122 0.000 0.117 (multiplicity 4)
Pb1 0.172 0.000 0.744 (multiplicity 4)
Cl1 0.071 0.500 0.317 (multiplicity 4)
O1 0.202 0.000 0.090 (multiplicity 4)

## Properties
Crystal system: monoclinic
ΔE to the lowest computed polymorph (eV/atom): 0.000
Size of the total moment (μB per formula unit): 0.0


# 3
Pm3Cu3Pd: optimized geometry, PBE.

Lattice parameters (Å, degrees): 3.849 4.320 18.902 90.00 90.00 90.00
Space group Imm2 (No. 44)
Asymmetric unit:
Pm1 0.000 0.000 0.000 (multiplicity 2)
Pm2 0.000 0.000 0.366 (multiplicity 2)
Pm3 0.000 0.500 0.185 (multiplicity 2)
Cu1 0.000 0.000 0.547 (multiplicity 2)
Cu2 0.000 0.000 0.829 (multiplicity 2)
Cu3 0.000 0.500 0.615 (multiplicity 2)
Pd1 0.000 0.500 0.749 (multiplicity 2)

## Properties
Crystal system: orthorhombic
Formation energy (meV per atom): -347
Size of the total moment (μB per formula unit): 0.0


# 4
NdDy3Er6: optimized geometry, PBE.

Lattice parameters (Å, degrees): 9.7712 9.7712 11.5966 90.00 90.00 120.00
Space group R3 (No. 146, hexagonal axes)
Asymmetric unit:
Nd1 0.0000 0.0000 0.0000 (multiplicity 3)
Dy1 0.0000 0.0000 0.2553 (multiplicity 3)
Dy2 0.0000 0.0000 0.5010 (multiplicity 3)
Dy3 0.0000 0.0000 0.7503 (multiplicity 3)
Er1 0.0000 0.3349 0.3299 (multiplicity 9)
Er2 0.0042 0.6683 0.1630 (multiplicity 9)

## Properties
Crystal system: trigonal
Formation energy (meV per atom): 290
ΔE to the lowest computed polymorph (eV/atom): 0.141
Size of the total moment (μB per formula unit): 0.0


# 5
Ac2TeBr: optimized geometry, PBE.

Lattice parameters (Å, degrees): 4.033 4.033 7.942 90.00 90.00 90.00
Space group P4/mmm (No. 123)
Asymmetric unit:
Ac1 0.000 0.000 0.244 (multiplicity 2)
Te1 0.500 0.500 0.000 (multiplicity 1)
Br1 0.500 0.500 0.500 (multiplicity 1)

## Properties
Crystal system: tetragonal
ΔE to the lowest computed polymorph (eV/atom): 0.083
Formation energy (no corrections) (meV per atom): -1201
Size of the total moment (μB per formula unit): 0.0


# 6
Be2Co: optimized geometry, PBE.

Lattice parameters (Å, degrees): 3.4996 3.4996 2.3913 90.00 90.00 120.00
Space group P6/mmm (No. 191)
Asymmetric unit:
Be1 0.3333 0.6667 0.0000 (multiplicity 2)
Co1 0.0000 0.0000 0.5000 (multiplicity 1)

## Properties
Crystal system: hexagonal
Formation energy (meV per atom): -280
Size of the total moment (μB per formula unit): 0.0


# 7
Tb2SmYSc4: optimized geometry, PBE.

Lattice parameters (Å, degrees): 4.930 4.930 9.295 90.00 90.00 90.00
Space group P4/mmm (No. 123)
Asymmetric unit:
Tb1 0.000 0.000 0.000 (multiplicity 1)
Tb2 0.500 0.500 0.500 (multiplicity 1)
Sm1 0.000 0.000 0.500 (multiplicity 1)
Y1 0.500 0.500 0.000 (multiplicity 1)
Sc1 0.000 0.500 0.250 (multiplicity 4)

## Properties
Crystal system: tetragonal
Formation energy (meV per atom): 54
Size of the total moment (μB per formula unit): 0.0


# 8
AgHg2Os: optimized geometry, PBE.

Lattice parameters (Å, degrees): 2.9611 2.9611 29.0641 90.00 90.00 120.00
Space group R-3m (No. 166, hexagonal axes)
Asymmetric unit:
Ag1 0.0000 0.0000 0.0000 (multiplicity 3)
Hg1 0.0000 0.0000 0.2483 (multiplicity 6)
Os1 0.0000 0.0000 0.5000 (multiplicity 3)

## Properties
Crystal system: trigonal
Formation energy (meV per atom): 583
ΔE to the lowest computed polymorph (eV/atom): 0.000
Size of the total moment (μB per formula unit): 0.7


# 9
Ba2LaPrS4: optimized geometry, PBE.

Lattice parameters (Å, degrees): 7.407 4.284 7.614 90.00 108.96 90.00
Space group P2/m (No. 10)
Asymmetric unit:
Ba1 0.000 0.000 0.000 (multiplicity 1)
Ba2 0.500 0.500 0.000 (multiplicity 1)
La1 0.000 0.500 0.500 (multiplicity 1)
Pr1 0.500 0.000 0.500 (multiplicity 1)
S1 0.242 0.000 0.723 (multiplicity 2)
S2 0.260 0.500 0.277 (multiplicity 2)

## Properties
Crystal system: monoclinic
Formation energy (no corrections) (meV per atom): -2055
Size of the total moment (μB per formula unit): 0.0


# 10
BaCa2Zn: optimized geometry, PBE.

Lattice parameters (Å, degrees): 5.151 5.151 11.630 90.00 90.00 90.00
Space group I4/mmm (No. 139)
Asymmetric unit:
Ba1 0.000 0.000 0.000 (multiplicity 2)
Ca1 0.000 0.500 0.250 (multiplicity 4)
Zn1 0.000 0.000 0.500 (multiplicity 2)

## Properties
Crystal system: tetragonal
Formation energy (meV per atom): 106
Size of the total moment (μB per formula unit): 0.0


# 11
K4CaF5: optimized geometry, PBE.

Lattice parameters (Å, degrees): 10.423 10.423 4.461 90.00 90.00 90.00
Space group I4/m (No. 87)
Asymmetric unit:
K1 0.098 0.738 0.000 (multiplicity 8)
Ca1 0.000 0.000 0.500 (multiplicity 2)
F1 0.000 0.000 0.000 (multiplicity 2)
F2 0.133 0.173 0.500 (multiplicity 8)

## Properties
Crystal system: tetragonal
Formation energy (no corrections) (meV per atom): -2779
Size of the total moment (μB per formula unit): 0.0


# 12
K3MnCl7: optimized geometry, PBE.

Lattice parameters (Å, degrees): 9.658 9.658 6.744 90.00 90.00 90.00
Space group P4/mbm (No. 127)
Asymmetric unit:
K1 0.000 0.000 0.000 (multiplicity 2)
K2 0.174 0.326 0.500 (multiplicity 4)
Mn1 0.000 0.500 0.000 (multiplicity 2)
Cl1 0.000 0.000 0.500 (multiplicity 2)
Cl2 0.117 0.617 0.242 (multiplicity 8)
Cl3 0.167 0.333 0.000 (multiplicity 4)

## Properties
Crystal system: tetragonal
Formation energy (no corrections) (meV per atom): -1457
Size of the total moment (μB per formula unit): 2.8


# 13
NdTlP4O12: optimized geometry, PBE.

Lattice parameters (Å, degrees): 10.631 9.183 13.069 90.00 125.06 90.00
Space group P2_1/c (No. 14)
Asymmetric unit:
Nd1 0.186 0.226 0.185 (multiplicity 4)
Tl1 0.249 0.564 0.962 (multiplicity 4)
P1 0.113 0.595 0.259 (multiplicity 4)
P2 0.180 0.674 0.641 (multiplicity 4)
P3 0.300 0.102 0.978 (multiplicity 4)
P4 0.473 0.527 0.724 (multiplicity 4)
O1 0.018 0.179 0.255 (multiplicity 4)
O2 0.075 0.034 0.675 (multiplicity 4)
O3 0.078 0.743 0.514 (multiplicity 4)
O4 0.134 0.535 0.672 (multiplicity 4)
O5 0.200 0.158 0.016 (multiplicity 4)
O6 0.223 0.707 0.248 (multiplicity 4)
O7 0.232 0.551 0.403 (multiplicity 4)
O8 0.337 0.202 0.908 (multiplicity 4)
O9 0.348 0.658 0.667 (multiplicity 4)
O10 0.369 0.092 0.696 (multiplicity 4)
O11 0.431 0.085 0.284 (multiplicity 4)
O12 0.456 0.039 0.101 (multiplicity 4)

## Properties
Crystal system: monoclinic
Formation energy (no corrections) (meV per atom): -2334
Size of the total moment (μB per formula unit): 0.0


# 14
Cs2RbH2: optimized geometry, PBE.

Lattice parameters (Å, degrees): 7.664 11.549 9.811 90.00 90.00 90.00
Space group Ibam (No. 72)
Asymmetric unit:
Cs1 0.083 0.169 0.000 (multiplicity 8)
Rb1 0.000 0.500 0.250 (multiplicity 4)
H1 0.221 0.436 0.000 (multiplicity 8)

## Properties
Crystal system: orthorhombic
ΔE to the lowest computed polymorph (eV/atom): 0.014
Size of the total moment (μB per formula unit): 0.9


# 15
TbCe2NdAs4: optimized geometry, PBE.

Lattice parameters (Å, degrees): 7.288 4.211 7.296 90.00 109.48 90.00
Space group P2/m (No. 10)
Asymmetric unit:
Tb1 0.000 0.000 0.000 (multiplicity 1)
Ce1 0.500 0.000 0.500 (multiplicity 1)
Ce2 0.500 0.500 0.000 (multiplicity 1)
Nd1 0.000 0.500 0.500 (multiplicity 1)
As1 0.250 0.500 0.246 (multiplicity 2)
As2 0.253 0.000 0.755 (multiplicity 2)

## Properties
Crystal system: monoclinic
Formation energy (meV per atom): -1478
Size of the total moment (μB per formula unit): 1.2


# 16
LiFeAgRh: optimized geometry, PBE.

Lattice parameters (Å, degrees): 6.077 6.077 6.077 90.00 90.00 90.00
Space group F-43m (No. 216)
Asymmetric unit:
Li1 0.000 0.000 0.000 (multiplicity 4)
Fe1 0.000 0.000 0.500 (multiplicity 4)
Ag1 0.250 0.250 0.250 (multiplicity 4)
Rh1 0.250 0.250 0.750 (multiplicity 4)

## Properties
Crystal system: cubic
Formation energy (meV per atom): 36
Size of the total moment (μB per formula unit): 3.6


# 17
Sr2ZrTaMn: optimized geometry, PBE.

Lattice parameters (Å, degrees): 6.066 6.066 4.977 90.00 90.00 90.00
Space group P4/mmm (No. 123)
Asymmetric unit:
Sr1 0.000 0.500 0.000 (multiplicity 2)
Zr1 0.000 0.000 0.000 (multiplicity 1)
Ta1 0.000 0.000 0.500 (multiplicity 1)
Mn1 0.500 0.500 0.500 (multiplicity 1)

## Properties
Crystal system: tetragonal
Formation energy (meV per atom): 1492
Size of the total moment (μB per formula unit): 4.3


# 18
Th2PaZn: optimized geometry, PBE.

Lattice parameters (Å, degrees): 4.876 4.876 4.466 90.00 90.00 90.00
Space group P4/mmm (No. 123)
Asymmetric unit:
Th1 0.000 0.500 0.000 (multiplicity 2)
Pa1 0.000 0.000 0.500 (multiplicity 1)
Zn1 0.500 0.500 0.500 (multiplicity 1)

## Properties
Crystal system: tetragonal
Formation energy (meV per atom): 107
ΔE to the lowest computed polymorph (eV/atom): 0.073
Size of the total moment (μB per formula unit): 0.0


# 19
ZnInPb2: optimized geometry, PBE.

Lattice parameters (Å, degrees): 3.577 4.278 7.138 90.00 96.59 90.00
Space group P2/m (No. 10)
Asymmetric unit:
Zn1 0.000 0.000 0.000 (multiplicity 1)
In1 0.000 0.000 0.500 (multiplicity 1)
Pb1 0.449 0.500 0.230 (multiplicity 2)

## Properties
Crystal system: monoclinic
Formation energy (meV per atom): 107
Size of the total moment (μB per formula unit): 0.0


# 20
Cs2CaCeF6: optimized geometry, PBE.

Lattice parameters (Å, degrees): 6.735 9.526 6.749 90.00 90.00 90.00
Space group Pmmn (No. 59, origin choice 2)
Asymmetric unit:
Cs1 0.250 0.000 0.246 (multiplicity 4)
Ca1 0.250 0.250 0.752 (multiplicity 2)
Ce1 0.250 0.750 0.746 (multiplicity 2)
F1 0.004 0.250 0.997 (multiplicity 4)
F2 0.005 0.250 0.507 (multiplicity 4)
F3 0.250 0.005 0.758 (multiplicity 4)

## Properties
Crystal system: orthorhombic
Formation energy (no corrections) (meV per atom): -3234
Size of the total moment (μB per formula unit): 1.5